The following is a DFT calculation (meta-GGA SCAN) of a PBEsol-optimized structure of Sc2ZnPb.

Geometry as CIF:
```
data_Sc2ZnPb
_space_group_name_H-M_alt 'P 1'
_space_group_IT_number 1
_space_group_name_Hall 'P 1'
_cell_length_a 3.204
_cell_length_b 3.204
_cell_length_c 10.875
_cell_angle_alpha 81.53
_cell_angle_beta 81.53
_cell_angle_gamma 60.00
loop_
_atom_site_label
_atom_site_type_symbol
_atom_site_fract_x
_atom_site_fract_y
_atom_site_fract_z
_atom_site_occupancy
Pb1 Pb 0.500 0.500 0.500 1
Sc1 Sc 0.913 0.913 0.262 1
Sc2 Sc 0.087 0.087 0.738 1
Zn1 Zn 0.000 0.000 0.000 1
```

Properties
As for the space-group type: R-3m, No. 166. The calculated volume comes out at 23.814 Å³/atom. The density of states at the Fermi level comes out at 3.8 states/eV/f.u. Its formation energy from the elements is 0.185 eV/atom.